# 1
Entry from Alexandria: an optimized crystal structure of CaMg2CdAu2 (PBE).

```
data_CaMg2CdAu2
_symmetry_space_group_name_H-M 'P -3 m 1'
_symmetry_Int_Tables_number 164
_symmetry_space_group_name_Hall '-P 3 2"'
_cell_length_a 4.7698
_cell_length_b 4.7698
_cell_length_c 6.5818
_cell_angle_alpha 90.00
_cell_angle_beta 90.00
_cell_angle_gamma 120.00
loop_
_atom_site_label
_atom_site_fract_x
_atom_site_fract_y
_atom_site_fract_z
Ca1 0.0000 0.0000 0.0000
Mg1 0.3333 0.6667 0.6874
Cd1 0.0000 0.0000 0.5000
Au1 0.3333 0.6667 0.2552
```

Summary:
**Energy of formation**: -539 meV per atom

---

# 2
Entry from Alexandria: an optimized crystal structure of KFeP3 (PBE).

```
data_KFeP3
_symmetry_space_group_name_H-M 'P m -3 m'
_symmetry_Int_Tables_number 221
_symmetry_space_group_name_Hall '-P 4 2 3'
_cell_length_a 5.131
_cell_length_b 5.131
_cell_length_c 5.131
_cell_angle_alpha 90.00
_cell_angle_beta 90.00
_cell_angle_gamma 90.00
loop_
_atom_site_label
_atom_site_fract_x
_atom_site_fract_y
_atom_site_fract_z
K1 0.000 0.000 0.000
Fe1 0.500 0.500 0.500
P1 0.000 0.000 0.500
```

Summary:
**Energy of formation**: 2367 meV per atom
**Energy relative to the lowest polymorph listed for this composition**: 2.025 eV/atom

---

# 3
Entry from Alexandria: an optimized crystal structure of Ti3CdIn2 (PBE).

```
data_Ti3CdIn2
_symmetry_space_group_name_H-M 'I m m m'
_symmetry_Int_Tables_number 71
_symmetry_space_group_name_Hall '-I 2 2'
_cell_length_a 2.903
_cell_length_b 5.299
_cell_length_c 16.450
_cell_angle_alpha 90.00
_cell_angle_beta 90.00
_cell_angle_gamma 90.00
loop_
_atom_site_label
_atom_site_fract_x
_atom_site_fract_y
_atom_site_fract_z
Ti1 0.000 0.000 0.000
Ti2 0.000 0.500 0.173
Cd1 0.000 0.500 0.000
In1 0.000 0.500 0.343
```

Summary:
**Energy of formation**: 347 meV per atom
**Energy relative to the lowest polymorph listed for this composition**: 0.432 eV/atom

---

# 4
Entry from Alexandria: an optimized crystal structure of EuPuIrPd (PBE).

```
data_EuPuIrPd
_symmetry_space_group_name_H-M 'F -4 3 m'
_symmetry_Int_Tables_number 216
_symmetry_space_group_name_Hall 'F -4 2 3'
_cell_length_a 7.015
_cell_length_b 7.015
_cell_length_c 7.015
_cell_angle_alpha 90.00
_cell_angle_beta 90.00
_cell_angle_gamma 90.00
loop_
_atom_site_label
_atom_site_fract_x
_atom_site_fract_y
_atom_site_fract_z
Eu1 0.000 0.000 0.000
Pu1 0.000 0.000 0.500
Ir1 0.250 0.250 0.750
Pd1 0.250 0.250 0.250
```

Summary:
**Energy of formation**: -399 meV per atom

---

# 5
Entry from Alexandria: an optimized crystal structure of Sm6Tl2Si (PBE).

```
data_Sm6Tl2Si
_symmetry_space_group_name_H-M 'P -6 2 m'
_symmetry_Int_Tables_number 189
_symmetry_space_group_name_Hall 'P -6 -2'
_cell_length_a 8.5517
_cell_length_b 8.5517
_cell_length_c 4.2296
_cell_angle_alpha 90.00
_cell_angle_beta 90.00
_cell_angle_gamma 120.00
loop_
_atom_site_label
_atom_site_fract_x
_atom_site_fract_y
_atom_site_fract_z
Sm1 0.0000 0.3946 0.0000
Sm2 0.0000 0.7479 0.5000
Tl1 0.3333 0.6667 0.5000
Si1 0.0000 0.0000 0.0000
```

Summary:
**Formation energy without anion corrections**: -349 meV per atom

---

# 6
Entry from Alexandria: an optimized crystal structure of Ca2Mg12Cd3Ag (PBE).

```
data_Ca2Mg12Cd3Ag
_symmetry_space_group_name_H-M 'R -3 m'
_symmetry_Int_Tables_number 166
_symmetry_space_group_name_Hall '-R 3 2"'
_cell_length_a 7.4896
_cell_length_b 7.4896
_cell_length_c 30.4511
_cell_angle_alpha 90.00
_cell_angle_beta 90.00
_cell_angle_gamma 120.00
loop_
_atom_site_label
_atom_site_fract_x
_atom_site_fract_y
_atom_site_fract_z
Ca1 0.0000 0.0000 0.1453
Mg1 0.0363 0.5181 0.1030
Mg2 0.0712 0.5356 0.6189
Cd1 0.0000 0.5000 0.0000
Ag1 0.0000 0.0000 0.5000
```

Summary:
**Energy of formation**: 101 meV per atom